Computed, not measured: a geometry-optimized Si2CN structure at the PBE-GGA level of DFT.

Calculated values
Calculated volume: 8.984 A^3/atom
DFT total energy: -5.572 eV/atom
Magnetization: 0.000 μB per atom
Raw formation energy: 1.53 eV/atom
Symmetry: Fm-3m (225)

```
4
Lattice="0.000 2.619 2.619 2.619 0.000 2.619 2.619 2.619 0.000" Properties=species:S:1:pos:R:3 pbc="T T T"
Si 1.310 1.310 1.310
Si 3.929 3.929 3.929
C 0.000 0.000 0.000
N 2.619 2.619 2.619
```

***

Computed, not measured: a geometry-optimized SiCN2 structure at the PBE-GGA level of DFT.

Calculated values
Calculated volume: 9.894 A^3/atom
DFT total energy: -6.737 eV/atom
Magnetization: 0.000 μB per atom
Raw formation energy: 1.09 eV/atom
Symmetry: I-42d (122)

```
8
Lattice="-2.186 2.186 4.141 2.186 -2.186 4.141 2.186 2.186 -4.141" Properties=species:S:1:pos:R:3 pbc="T T T"
Si 0.000 0.000 0.000
Si 0.000 2.186 2.070
C 2.186 0.000 2.070
C 0.000 0.000 4.141
N 3.279 0.893 -1.035
N 0.893 1.093 1.035
N -1.093 1.293 3.105
N 1.293 1.093 5.176
```

***

Computed, not measured: a geometry-optimized SiCN structure at the PBE-GGA level of DFT.

Calculated values
Calculated volume: 10.198 A^3/atom
DFT total energy: -7.483 eV/atom
Magnetization: 0.000 μB per atom
Raw formation energy: 0.17 eV/atom
Symmetry: C2 (5)

```
3
Lattice="2.073 -3.542 0.000 2.073 3.542 0.000 -1.840 0.000 2.083" Properties=species:S:1:pos:R:3 pbc="T T T"
Si 0.000 0.000 0.000
C 1.152 1.056 1.042
N 1.152 2.451 1.042
```

***

Computed, not measured: a geometry-optimized Si2CN structure at the PBE-GGA level of DFT.

Calculated values
Calculated volume: 9.939 A^3/atom
DFT total energy: -7.254 eV/atom
Magnetization: 0.000 μB per atom
Raw formation energy: -0.16 eV/atom
Symmetry: I-42d (122)

```
8
Lattice="-2.145 2.145 4.321 2.145 -2.145 4.321 2.145 2.145 -4.321" Properties=species:S:1:pos:R:3 pbc="T T T"
Si 3.217 1.055 -1.080
Si 1.055 1.072 1.080
Si -1.072 1.089 3.241
Si 1.089 1.072 5.402
C 0.000 0.000 0.000
C 0.000 2.145 2.161
N 2.145 0.000 2.161
N 0.000 0.000 4.321
```

***

Computed, not measured: a geometry-optimized SiCN structure at the PBE-GGA level of DFT.

Calculated values
Calculated volume: 10.448 A^3/atom
DFT total energy: -7.383 eV/atom
Magnetization: 0.000 μB per atom
Raw formation energy: 0.27 eV/atom
Symmetry: Cm (8)

```
3
Lattice="2.688 -1.545 0.000 2.688 1.545 0.000 -1.804 0.000 3.772" Properties=species:S:1:pos:R:3 pbc="T T T"
Si 0.000 0.000 0.000
C -0.012 0.000 2.976
N -0.020 0.000 1.640
```

***

Computed, not measured: a geometry-optimized SiCN structure at the PBE-GGA level of DFT.

Calculated values
Calculated volume: 8.351 A^3/atom
DFT total energy: -7.579 eV/atom
Magnetization: 0.000 μB per atom
Raw formation energy: 0.08 eV/atom
Symmetry: R3m (160)

```
3
Lattice="1.437 0.830 3.503 -1.437 0.830 3.503 0.000 -1.659 3.503" Properties=species:S:1:pos:R:3 pbc="T T T"
Si 0.000 0.000 0.000
C 0.000 0.000 4.564
N 0.000 0.000 5.943
```

***

Computed, not measured: a geometry-optimized SiC3N structure at the PBE-GGA level of DFT.

Calculated values
Calculated volume: 8.175 A^3/atom
DFT total energy: -5.139 eV/atom
Magnetization: 0.000 μB per atom
Raw formation energy: 3.15 eV/atom
Symmetry: Pm-3m (221)

```
5
Lattice="3.445 0.000 0.000 0.000 3.445 0.000 0.000 0.000 3.445" Properties=species:S:1:pos:R:3 pbc="T T T"
Si 0.000 0.000 0.000
C 0.000 1.722 1.722
C 1.722 0.000 1.722
C 1.722 1.722 0.000
N 1.722 1.722 1.722
```

***

Computed, not measured: a geometry-optimized SiCN structure at the PBE-GGA level of DFT.

Calculated values
Calculated volume: 9.011 A^3/atom
DFT total energy: -6.096 eV/atom
Magnetization: 0.000 μB per atom
Raw formation energy: 1.56 eV/atom
Symmetry: F-43m (216)

```
3
Lattice="0.000 2.382 2.382 2.382 0.000 2.382 2.382 2.382 0.000" Properties=species:S:1:pos:R:3 pbc="T T T"
Si 0.000 0.000 0.000
C 1.191 1.191 1.191
N 3.573 3.573 3.573
```

***

Computed, not measured: a geometry-optimized SiCN structure at the PBE-GGA level of DFT.

Calculated values
Calculated volume: 10.198 A^3/atom
DFT total energy: -7.395 eV/atom
Magnetization: 0.000 μB per atom
Raw formation energy: 0.26 eV/atom
Symmetry: Imm2 (44)

```
3
Lattice="-1.197 1.705 3.748 1.197 -1.705 3.748 1.197 1.705 -3.748" Properties=species:S:1:pos:R:3 pbc="T T T"
Si 0.000 0.000 0.000
C 1.197 0.000 2.591
N 0.000 0.000 1.809
```

***

Computed, not measured: a geometry-optimized SiCN2 structure at the PBE-GGA level of DFT.

Calculated values
Calculated volume: 8.102 A^3/atom
DFT total energy: -7.447 eV/atom
Magnetization: 0.000 μB per atom
Raw formation energy: 0.38 eV/atom
Symmetry: R-3m (166)

```
4
Lattice="1.403 0.810 4.756 -1.403 0.810 4.756 0.000 -1.620 4.756" Properties=species:S:1:pos:R:3 pbc="T T T"
Si 0.000 0.000 0.000
C 0.000 0.000 7.133
N 0.000 0.000 5.794
N 0.000 0.000 8.473
```

***

Computed, not measured: a geometry-optimized Si3CN structure at the PBE-GGA level of DFT.

Calculated values
Calculated volume: 12.765 A^3/atom
DFT total energy: -5.106 eV/atom
Magnetization: 0.000 μB per atom
Raw formation energy: 1.66 eV/atom
Symmetry: Pm-3m (221)

```
5
Lattice="3.996 0.000 0.000 0.000 3.996 0.000 0.000 0.000 3.996" Properties=species:S:1:pos:R:3 pbc="T T T"
Si 0.000 0.000 1.998
Si 0.000 1.998 0.000
Si 1.998 0.000 0.000
C 0.000 0.000 0.000
N 1.998 1.998 1.998
```

***

Computed, not measured: a geometry-optimized SiCN structure at the PBE-GGA level of DFT.

Calculated values
Calculated volume: 10.428 A^3/atom
DFT total energy: -7.305 eV/atom
Magnetization: 0.000 μB per atom
Raw formation energy: 0.35 eV/atom
Symmetry: C2 (5)

```
3
Lattice="1.167 -4.595 0.000 1.167 4.595 0.000 -0.755 0.000 2.918" Properties=species:S:1:pos:R:3 pbc="T T T"
Si 0.000 0.000 0.000
C 1.167 2.661 0.000
N 1.167 -2.634 0.000
```